(1)
Compound: MnCdAg
Source: Alexandria via LeMat-Bulk
Functional: GGA-PBE
Structure: optimized geometry

Computed properties:
formation energy from the elements = 249 meV per atom
energy above the lowest structure with this stoichiometry = 54 meV/atom

abc: 4.672 4.672 2.855
angles: 90.00 90.00 120.00
Last column: magnetic moment on the atom in μB.
Fractional positions:
Ag (0.000, 0.000, 0.998)  0.02
Mn (0.333, 0.667, 0.695)  3.77
Cd (0.667, 0.333, 0.308)  -0.03

---

(2)
Compound: NdSb2Pd6
Source: Alexandria via LeMat-Bulk
Functional: GGA-PBE
Structure: optimized geometry

Computed properties:
E_form (uncorrected) = -4.3 eV per formula unit
energy above the lowest structure with this stoichiometry = 0 meV/atom

abc: 4.596 6.672 6.672
angles: 73.14 69.73 69.73
Fractional positions:
Sb (0.330, 0.670, 0.670)
Sb (0.670, 0.330, 0.330)
Pd (0.500, 0.237, 0.763)
Pd (0.817, 0.497, 0.871)
Pd (0.183, 0.503, 0.129)
Pd (0.500, 0.763, 0.237)
Pd (0.817, 0.871, 0.497)
Pd (0.183, 0.129, 0.503)
Nd (0.000, 0.000, 0.000)

---

(3)
Compound: PuGa4Tc
Source: Alexandria via LeMat-Bulk
Functional: GGA-PBE
Structure: optimized geometry

Computed properties:
formation energy from the elements = -11 meV per atom
energy above the lowest structure with this stoichiometry = 289 meV/atom

abc: 5.277 5.277 5.277
angles: 60.00 60.00 60.00
Last column: magnetic moment on the atom in μB.
Fractional positions:
Ga (0.625, 0.625, 0.625)  0.05
Ga (0.625, 0.625, 0.124)  0.05
Ga (0.625, 0.124, 0.625)  0.05
Ga (0.124, 0.625, 0.625)  0.05
Pu (0.250, 0.250, 0.250)  5.38
Tc (0.000, 0.000, 0.000)  -0.41

---

(4)
Compound: SrSbRu2
Source: Alexandria via LeMat-Bulk
Functional: GGA-PBE
Structure: optimized geometry

Computed properties:
E_form (uncorrected) = 2.1 eV per formula unit

abc: 7.668 7.668 6.278
angles: 52.36 52.36 90.00
Fractional positions:
Sb (0.750, 0.250, 0.500)
Sb (0.000, 0.000, 0.000)
Ru (0.875, 0.939, 0.750)
Ru (0.689, 0.125, 0.250)
Ru (0.375, 0.311, 0.750)
Ru (0.061, 0.625, 0.250)
Sr (0.250, 0.750, 0.500)
Sr (0.500, 0.500, 0.000)

---

(5)
Compound: Tm4NiHgRu2
Source: Alexandria via LeMat-Bulk
Functional: GGA-PBE
Structure: optimized geometry

Computed properties:
formation energy from the elements = -437 meV per atom

abc: 4.846 4.846 8.414
angles: 73.26 73.26 60.00
Fractional positions:
Tm (0.619, 0.619, 0.144)
Tm (0.129, 0.129, 0.612)
Tm (0.871, 0.871, 0.388)
Tm (0.381, 0.381, 0.856)
Hg (0.000, 0.000, 0.000)
Ru (0.750, 0.750, 0.749)
Ru (0.250, 0.250, 0.251)
Ni (0.500, 0.500, 0.500)

---

(6)
Compound: LiPmDy4Se8
Source: Alexandria via LeMat-Bulk
Functional: GGA-PBE
Structure: optimized geometry

Computed properties:
E_form (uncorrected) = -24.9 eV per formula unit

abc: 8.373 8.373 8.438
angles: 60.26 60.26 60.00
Fractional positions:
Se (0.248, 0.248, 0.739)
Se (0.754, 0.227, 0.265)
Se (0.244, 0.244, 0.268)
Se (0.227, 0.754, 0.265)
Se (0.754, 0.754, 0.265)
Se (0.759, 0.759, 0.723)
Se (0.765, 0.248, 0.739)
Se (0.248, 0.765, 0.739)
Pm (0.005, 0.005, 0.986)
Dy (0.626, 0.626, 0.121)
Dy (0.484, 0.005, 0.505)
Dy (0.005, 0.484, 0.505)
Dy (0.005, 0.005, 0.505)
Li (0.375, 0.375, 0.876)

---

(7)
Compound: PrTmGaPd
Source: Alexandria via LeMat-Bulk
Functional: GGA-PBE
Structure: optimized geometry

Computed properties:
formation energy from the elements = -640 meV per atom
energy above the lowest structure with this stoichiometry = 47 meV/atom

abc: 5.100 5.100 5.100
angles: 60.00 60.00 60.00
Fractional positions:
Tm (0.500, 0.500, 0.500)
Pd (0.750, 0.750, 0.750)
Ga (0.250, 0.250, 0.250)
Pr (0.000, 0.000, 0.000)

---

(8)
Compound: CaTiH6O2F6
Source: Alexandria via LeMat-Bulk
Functional: GGA-PBE
Structure: optimized geometry

Computed properties:
energy above the lowest structure with this stoichiometry = 0 meV/atom

abc: 6.931 6.931 6.163
angles: 90.00 90.00 120.00
Last column: magnetic moment on the atom in μB.
Fractional positions:
F (0.735, 0.867, 0.232)  0.00
F (0.868, 0.133, 0.768)  0.00
F (0.133, 0.868, 0.232)  0.00
F (0.867, 0.735, 0.768)  0.00
F (0.265, 0.132, 0.768)  0.00
F (0.132, 0.265, 0.232)  0.00
O (0.667, 0.333, 0.698)  0.00
O (0.333, 0.667, 0.302)  0.00
H (0.750, 0.500, 0.740)  0.00
H (0.250, 0.750, 0.260)  0.00
H (0.500, 0.750, 0.260)  0.00
H (0.250, 0.500, 0.260)  0.00
H (0.750, 0.250, 0.740)  0.00
H (0.500, 0.250, 0.740)  0.00
Ca (0.000, 0.000, 0.500)  0.03
Ti (0.000, 0.000, 0.000)  1.68

---

(9)
Compound: Ho5TePb4
Source: Alexandria via LeMat-Bulk
Functional: GGA-PBE
Structure: optimized geometry

Computed properties:
E_form (uncorrected) = -5.7 eV per formula unit

abc: 3.856 6.286 12.958
angles: 104.04 98.56 90.00
Fractional positions:
Ho (0.799, 0.299, 0.599)
Ho (0.201, 0.701, 0.401)
Ho (0.000, 0.500, 0.000)
Ho (0.403, 0.903, 0.806)
Ho (0.597, 0.097, 0.194)
Pb (0.599, 0.599, 0.198)
Pb (0.198, 0.198, 0.396)
Pb (0.401, 0.401, 0.802)
Pb (0.802, 0.802, 0.604)
Te (0.000, 0.000, 0.000)

---

(10)
Compound: Ho5Zn2Ga
Source: Alexandria via LeMat-Bulk
Functional: GGA-PBE
Structure: optimized geometry

Computed properties:
formation energy from the elements = -316 meV per atom

abc: 7.346 7.346 9.097
angles: 113.81 113.81 90.00
Fractional positions:
Ho (0.982, 0.482, 0.303)
Ho (0.820, 0.982, 0.303)
Ho (0.320, 0.820, 0.303)
Ho (0.482, 0.320, 0.303)
Ho (0.018, 0.518, 0.697)
Ho (0.680, 0.180, 0.697)
Ho (0.000, 0.000, 0.000)
Ho (0.500, 0.500, 0.000)
Ho (0.518, 0.680, 0.697)
Ho (0.180, 0.018, 0.697)
Ga (0.250, 0.250, 0.500)
Ga (0.750, 0.750, 0.500)
Zn (0.621, 0.121, 0.000)
Zn (0.121, 0.379, 0.000)
Zn (0.879, 0.621, 0.000)
Zn (0.379, 0.879, 0.000)

---

(11)
Compound: TlCdIn
Source: Alexandria via LeMat-Bulk
Functional: GGA-PBE
Structure: optimized geometry

Computed properties:
formation energy from the elements = 40 meV per atom

abc: 5.752 8.754 3.396
angles: 79.56 90.72 77.07
Fractional positions:
Tl (0.114, 0.309, 0.221)
Tl (0.536, 0.586, 0.093)
Cd (0.577, 0.926, 0.413)
Cd (0.016, 0.650, 0.550)
In (0.636, 0.229, 0.760)
In (0.102, 0.948, 0.891)

---

(12)
Compound: MnAg2PbCl6
Source: Alexandria via LeMat-Bulk
Functional: GGA-PBE
Structure: optimized geometry

Computed properties:
E_form (uncorrected) = -8.3 eV per formula unit

abc: 6.901 6.902 7.570
angles: 90.00 117.11 120.00
Last column: magnetic moment on the atom in μB.
Fractional positions:
Cl (0.131, 0.408, 0.239)  0.03
Cl (0.454, 0.859, 0.691)  0.03
Cl (0.847, 0.594, 0.692)  0.03
Cl (0.111, 0.252, 0.691)  0.03
Cl (0.845, 0.722, 0.239)  0.03
Cl (0.530, 0.122, 0.239)  0.03
Mn (0.985, 0.492, 0.462)  4.41
Ag (0.456, 0.228, 0.670)  0.01
Ag (0.601, 0.800, 0.387)  0.01
Pb (0.005, 0.002, 0.993)  0.03

---

The following theoretical density values (in g cm⁻³) correspond, in order, to the records above: 8.468 9.648 9.922 7.344 11.702 5.669 8.605 1.554 9.821 8.447 8.759 4.318.
The following density of states at the Fermi level values (in states/eV per cell) correspond, in order, to the records above: 1.816 3.941 9.564 5.636 4.480 0.000 3.338 7.178 7.205 12.204 2.941 0.000.